Material: As2C
Method: DFT, PBE-GGA
State: relaxed

Values from the calculation:
Energy relative to the lowest polymorph listed for this composition in eV per formula unit: 0.01
Formation energy in kJ/mol of atoms: 48.41
Total DFT energy (no corrections) in eV per formula unit: -17.02

a = 4.3672 Å, b = 4.3672 Å, c = 12.6109 Å
α = 90.00°, β = 90.00°, γ = 90.00°
Last column: nearest neighbours and their distance in Å.
Fractional coordinates of all 12 atoms:
As: 0.2074 0.2074 0.3506  2 C 2.02
As: 0.2074 0.7926 0.6494  2 C 2.02
As: 0.2926 0.2926 0.8506  2 C 2.02
As: 0.2926 0.7074 0.1494  2 C 2.02
As: 0.7074 0.2926 0.1494  2 C 2.02
As: 0.7074 0.7074 0.8506  2 C 2.02
As: 0.7926 0.2074 0.6494  2 C 2.02
As: 0.7926 0.7926 0.3506  2 C 2.02
C: 0.0000 0.5000 0.2500  4 As 2.02
C: 0.0000 0.5000 0.7500  4 As 2.02
C: 0.5000 0.0000 0.2500  4 As 2.02
C: 0.5000 0.0000 0.7500  4 As 2.02



Material: AsC
Method: DFT, PBE-GGA
State: relaxed

Values from the calculation:
Energy relative to the lowest polymorph listed for this composition in eV per formula unit: 1.47
Formation energy in kJ/mol of atoms: 123.16
Density of states at the Fermi level in states/eV per atom: 0.3587
Total DFT energy (no corrections) in eV per formula unit: -11.32

a = 3.5954 Å, b = 3.5954 Å, c = 4.7460 Å
α = 90.00°, β = 90.00°, γ = 120.00°
Last column: nearest neighbours and their distance in Å.
Fractional coordinates of all 4 atoms:
As: 0.3333 0.6667 0.0000  4 C 2.01-2.11
As: 0.6667 0.3333 0.5000  4 C 2.01-2.11
C: 0.3333 0.6667 0.5766  4 As 2.01-2.11
C: 0.6667 0.3333 0.0766  4 As 2.01-2.11



Material: AsC
Method: DFT, PBE-GGA
State: relaxed

Values from the calculation:
Energy relative to the lowest polymorph listed for this composition in eV per formula unit: 1.45
Formation energy in kJ/mol of atoms: 122.21
Density of states at the Fermi level in states/eV per atom: 0.3322
Total DFT energy (no corrections) in eV per formula unit: -11.34

a = 11.9387 Å, b = 3.1102 Å, c = 5.5726 Å
α = 90.00°, β = 114.57°, γ = 90.00°
Last column: nearest neighbours and their distance in Å.
Fractional coordinates of all 12 atoms:
As: 0.0000 0.0000 0.0000  3 C 1.91-1.98
As: 0.1122 0.5000 0.5547  3 C 1.96-2.00
As: 0.3273 0.0000 0.4301  3 C 1.95-1.97
As: 0.5000 0.5000 0.0000  3 C 1.91-1.98
As: 0.6122 0.0000 0.5547  3 C 1.96-2.00
As: 0.8273 0.5000 0.4301  3 C 1.95-1.97
C: 0.0082 0.0000 0.3623  3 As 1.98-2.00
C: 0.2203 0.5000 0.3702  3 As 1.95-1.96
C: 0.4133 0.0000 0.8170  3 As 1.91-1.97
C: 0.5082 0.5000 0.3623  3 As 1.98-2.00
C: 0.7203 0.0000 0.3702  3 As 1.95-1.96
C: 0.9133 0.5000 0.8170  3 As 1.91-1.97



Material: AsC
Method: DFT, PBE-GGA
State: relaxed

Values from the calculation:
Energy relative to the lowest polymorph listed for this composition in eV per formula unit: 0.17
Formation energy in kJ/mol of atoms: 60.53
Density of states at the Fermi level in states/eV per atom: 0.8981
Total DFT energy (no corrections) in eV per formula unit: -12.62

a = 2.5785 Å, b = 2.5785 Å, c = 37.0469 Å
α = 90.00°, β = 90.00°, γ = 120.00°
Last column: nearest neighbours and their distance in Å.
Fractional coordinates of all 12 atoms:
As: 0.0000 0.0000 0.1227  6 As 2.58
As: 0.0000 0.0000 0.8773  6 As 2.58
As: 0.3333 0.6667 0.5440  6 As 2.58
As: 0.3333 0.6667 0.7894  6 As 2.58
As: 0.6667 0.3333 0.2106  6 As 2.58
As: 0.6667 0.3333 0.4560  6 As 2.58
C: 0.0000 0.0000 0.3333  3 C 1.49
C: 0.0000 0.0000 0.6667  3 C 1.49
C: 0.3333 0.6667 0.0000  3 C 1.49
C: 0.3333 0.6667 0.3333  3 C 1.49
C: 0.6667 0.3333 0.0000  3 C 1.49
C: 0.6667 0.3333 0.6667  3 C 1.49



Material: AsC
Method: DFT, PBE-GGA
State: relaxed

Values from the calculation:
Energy relative to the lowest polymorph listed for this composition in eV per formula unit: 1.92
Formation energy in kJ/mol of atoms: 144.69
Density of states at the Fermi level in states/eV per atom: 0.5988
Total DFT energy (no corrections) in eV per formula unit: -10.87

a = 4.4820 Å, b = 4.4820 Å, c = 4.4820 Å
α = 90.00°, β = 90.00°, γ = 90.00°
Last column: nearest neighbours and their distance in Å.
Fractional coordinates of all 8 atoms:
As: 0.0000 0.0000 0.0000  6 C 2.24
As: 0.0000 0.5000 0.5000  6 C 2.24
As: 0.5000 0.0000 0.5000  6 C 2.24
As: 0.5000 0.5000 0.0000  6 C 2.24
C: 0.0000 0.0000 0.5000  6 As 2.24
C: 0.0000 0.5000 0.0000  6 As 2.24
C: 0.5000 0.0000 0.0000  6 As 2.24
C: 0.5000 0.5000 0.5000  6 As 2.24



Material: As4C3
Method: DFT, PBE-GGA
State: relaxed

Values from the calculation:
Energy relative to the lowest polymorph listed for this composition in eV per formula unit: 4.44
Formation energy in kJ/mol of atoms: 145.27
Density of states at the Fermi level in states/eV per atom: 1.1976
Total DFT energy (no corrections) in eV per formula unit: -35.73

a = 4.5188 Å, b = 4.5188 Å, c = 4.5188 Å
α = 90.00°, β = 90.00°, γ = 90.00°
Last column: nearest neighbours and their distance in Å.
Fractional coordinates of all 7 atoms:
As: 0.0000 0.0000 0.0000  6 C 2.26
As: 0.0000 0.5000 0.5000  4 C 2.26
As: 0.5000 0.0000 0.5000  4 C 2.26
As: 0.5000 0.5000 0.0000  4 C 2.26
C: 0.0000 0.0000 0.5000  6 As 2.26
C: 0.0000 0.5000 0.0000  6 As 2.26
C: 0.5000 0.0000 0.0000  6 As 2.26



Material: AsC
Method: DFT, PBE-GGA
State: relaxed

Values from the calculation:
Energy relative to the lowest polymorph listed for this composition in eV per formula unit: 1.47
Formation energy in kJ/mol of atoms: 123.26
Density of states at the Fermi level in states/eV per atom: 0.2106
Total DFT energy (no corrections) in eV per formula unit: -11.32

a = 5.1931 Å, b = 5.2531 Å, c = 8.1850 Å
α = 90.00°, β = 90.00°, γ = 90.00°
Last column: nearest neighbours and their distance in Å.
Fractional coordinates of all 16 atoms:
As: 0.2176 0.0476 0.2569  3 C 2.00-2.09
As: 0.2434 0.4557 0.9998  3 C 1.96-2.00
As: 0.2566 0.5443 0.4998  3 C 1.96-2.00
As: 0.2824 0.9524 0.7569  3 C 2.00-2.09
As: 0.7176 0.4524 0.7431  3 C 2.00-2.09
As: 0.7435 0.0443 0.0002  3 C 1.96-2.00
As: 0.7565 0.9557 0.5002  3 C 1.96-2.00
As: 0.7824 0.5476 0.2431  3 C 2.00-2.09
C: 0.1365 0.9003 0.5215  3 As 1.98-2.09
C: 0.1383 0.4210 0.2870  3 As 1.96-2.02
C: 0.3618 0.5790 0.7870  3 As 1.96-2.02
C: 0.3635 0.0997 0.0215  3 As 1.98-2.09
C: 0.6365 0.5997 0.4785  3 As 1.98-2.09
C: 0.6382 0.0790 0.7130  3 As 1.96-2.02
C: 0.8618 0.9210 0.2130  3 As 1.96-2.02
C: 0.8635 0.4003 0.9785  3 As 1.98-2.09



Material: AsC
Method: DFT, PBE-GGA
State: relaxed

Values from the calculation:
Energy relative to the lowest polymorph listed for this composition in eV per formula unit: 0.68
Formation energy in kJ/mol of atoms: 84.74
Density of states at the Fermi level in states/eV per atom: 0.0020
Total DFT energy (no corrections) in eV per formula unit: -12.12

a = 6.1705 Å, b = 6.0436 Å, c = 5.2453 Å
α = 90.00°, β = 114.73°, γ = 90.00°
Last column: nearest neighbours and their distance in Å.
Fractional coordinates of all 8 atoms:
As: 0.2181 0.0000 0.1493  2 C 1.96-2.00
As: 0.2819 0.5000 0.8507  2 C 1.96-2.00
As: 0.7181 0.5000 0.1493  2 C 1.96-2.00
As: 0.7819 0.0000 0.8507  2 C 1.96-2.00
C: 0.1147 0.3087 0.0124  1 C 1.37
C: 0.3853 0.8087 0.9876  1 C 1.37
C: 0.6147 0.8087 0.0124  1 C 1.37
C: 0.8853 0.3087 0.9876  1 C 1.37



Material: As2C
Method: DFT, PBE-GGA
State: relaxed

Values from the calculation:
Energy relative to the lowest polymorph listed for this composition in eV per formula unit: 0.87
Formation energy in kJ/mol of atoms: 75.95
Density of states at the Fermi level in states/eV per atom: 0.2162
Total DFT energy (no corrections) in eV per formula unit: -16.16

a = 3.0505 Å, b = 3.0505 Å, c = 20.4957 Å
α = 90.00°, β = 90.00°, γ = 120.00°
Last column: nearest neighbours and their distance in Å.
Fractional coordinates of all 9 atoms:
As: 0.0000 0.0000 0.1139  3 C 2.01
As: 0.0000 0.0000 0.8861  3 C 2.01
As: 0.3333 0.6667 0.5658  3 C 2.22
As: 0.3333 0.6667 0.7427  1 C 1.98
As: 0.6667 0.3333 0.2573  1 C 1.98
As: 0.6667 0.3333 0.4342  3 C 2.22
C: 0.0000 0.0000 0.5000  6 As 2.22
C: 0.3333 0.6667 0.8392  4 As 1.98-2.01
C: 0.6667 0.3333 0.1608  4 As 1.98-2.01



Material: AsC
Method: DFT, PBE-GGA
State: relaxed

Values from the calculation:
Energy relative to the lowest polymorph listed for this composition in eV per formula unit: 1.08
Formation energy in kJ/mol of atoms: 104.09
Density of states at the Fermi level in states/eV per atom: 0.0142
Total DFT energy (no corrections) in eV per formula unit: -11.72

a = 9.2227 Å, b = 9.2227 Å, c = 3.1176 Å
α = 90.00°, β = 90.00°, γ = 90.00°
Last column: nearest neighbours and their distance in Å.
Fractional coordinates of all 16 atoms:
As: 0.0853 0.3627 0.0000  4 C 1.90-2.11
As: 0.2534 0.6296 0.5000  3 C 2.00-2.01
As: 0.3627 0.9148 0.0000  4 C 1.90-2.11
As: 0.3704 0.2534 0.5000  3 C 2.00-2.01
As: 0.6296 0.7466 0.5000  3 C 2.00-2.01
As: 0.6373 0.0853 0.0000  4 C 1.90-2.11
As: 0.7466 0.3704 0.5000  3 C 2.00-2.01
As: 0.9148 0.6373 0.0000  4 C 1.90-2.11
C: 0.1221 0.5888 0.0000  4 As 1.96-2.11
C: 0.1546 0.2677 0.5000  3 As 1.90-2.00
C: 0.2677 0.8454 0.5000  3 As 1.90-2.00
C: 0.4112 0.1221 0.0000  4 As 1.96-2.11
C: 0.5888 0.8779 0.0000  4 As 1.96-2.11
C: 0.7323 0.1546 0.5000  3 As 1.90-2.00
C: 0.8454 0.7323 0.5000  3 As 1.90-2.00
C: 0.8779 0.4112 0.0000  4 As 1.96-2.11



Number 1 is which compound? As2C